# HSe2SBr

Crystalline HSe2SBr at its relaxed geometry (PBE, Alexandria).

Output
ΔE to the lowest computed polymorph   0 kJ/mol of formula units

a b c (Å): 3.8505 3.8505 8.2755
angles (deg): 90.00 90.00 90.00
Last column: nearest neighbours and their distance in Å.
Fractional coordinates of all 5 atoms:
H1 0.0000 0.0000 0.0000  4 Se 1.93
Se1 0.0000 0.5000 0.0000  2 H 1.93
Se2 0.5000 0.0000 0.0000  2 H 1.93
S1 0.5000 0.5000 0.5000  4 Br 2.72
Br1 0.0000 0.0000 0.5000  4 S 2.72

=====

# HSe2SBr

Crystalline HSe2SBr at its relaxed geometry (PBE, Alexandria).

Output
ΔE to the lowest computed polymorph   173 kJ/mol of formula units

a b c (Å): 4.9118 4.9118 5.2512
angles (deg): 90.00 90.00 90.00
Last column: nearest neighbours and their distance in Å.
Fractional coordinates of all 5 atoms:
H1 0.0000 0.0000 0.0000  4 Br 3.47, 8 Se 3.60
Se1 0.0000 0.5000 0.5000  2 S 2.46
Se2 0.5000 0.0000 0.5000  2 S 2.46
S1 0.5000 0.5000 0.5000  4 Se 2.46, 2 Br 2.63
Br1 0.5000 0.5000 0.0000  2 S 2.63

=====

# SnHSBr

Crystalline SnHSBr at its relaxed geometry (PBE, Alexandria).

a b c (Å): 4.4219 4.4219 7.2857
angles (deg): 113.24 113.24 63.01
Last column: nearest neighbours and their distance in Å.
Fractional coordinates of all 4 atoms:
Sn1 0.0000 0.0000 0.0000  3 S 2.80-2.94, 2 Br 3.05
H1 0.9019 0.9019 0.4003  1 S 1.36
S1 0.7591 0.7591 0.1982  1 H 1.36
Br1 0.2469 0.2469 0.7330  1 H 2.61

=====

# SnH3SBr3

Crystalline SnH3SBr3 at its relaxed geometry (PBE, Alexandria).

Output
ΔE to the lowest computed polymorph   0 kJ/mol of formula units

a b c (Å): 6.1657 8.2623 8.6676
angles (deg): 90.00 93.02 90.00
Last column: nearest neighbours and their distance in Å.
Fractional coordinates of all 16 atoms:
Sn1 0.0000 0.2285 0.0000  3 Br 2.74-2.88
Sn2 0.0000 0.7715 0.5000  3 Br 2.74-2.88
H1 0.4861 0.4484 0.4686  1 S 1.39
H2 0.4861 0.5516 0.9686  1 S 1.39
H3 0.4951 0.2830 0.2952  1 S 1.39
H4 0.4951 0.7170 0.7952  1 S 1.39
H5 0.7679 0.3870 0.3808  1 S 1.43
H6 0.7679 0.6130 0.8808  1 S 1.43
S1 0.5897 0.3027 0.4435  3 H 1.39-1.43
S2 0.5897 0.6973 0.9435  3 H 1.39-1.43
Br1 0.0121 0.0355 0.3098  1 Sn 2.74
Br2 0.0121 0.9645 0.8098  1 Sn 2.74
Br3 0.4520 0.2668 0.0276  2 H 2.32-2.42
Br4 0.4520 0.7332 0.5276  2 H 2.32-2.42
Br5 0.9792 0.4676 0.7575  1 H 2.10
Br6 0.9792 0.5324 0.2575  1 H 2.10

=====

# SnH3SBr3

Crystalline SnH3SBr3 at its relaxed geometry (PBE, Alexandria).

Output
ΔE to the lowest computed polymorph   2 kJ/mol of formula units

a b c (Å): 4.6390 8.0984 11.5234
angles (deg): 88.80 89.44 73.74
Last column: nearest neighbours and their distance in Å.
Fractional coordinates of all 16 atoms:
Sn1 0.0000 0.0000 0.0000  3 Br 2.76-2.96
Sn2 0.0113 0.9780 0.4854  3 Br 2.76-2.95
H1 0.0791 0.3515 0.7587  1 S 1.41
H2 0.2371 0.4136 0.9051  1 S 1.43
H3 0.5001 0.3556 0.7658  1 S 1.40
H4 0.5445 0.4102 0.3130  1 S 1.39
H5 0.6468 0.6161 0.3755  1 S 1.41
H6 0.9676 0.4092 0.3210  1 S 1.40
S1 0.2238 0.4759 0.7879  3 H 1.40-1.43
S2 0.7073 0.5197 0.2729  3 H 1.39-1.41
Br1 0.0470 0.8591 0.2616  1 Sn 2.76
Br2 0.2844 0.2627 0.0587  1 H 2.11
Br3 0.3316 0.2384 0.4343  2 H 2.26-2.35
Br4 0.5441 0.7686 0.9458  1 Sn 2.76
Br5 0.5774 0.7380 0.5430  1 H 2.17
Br6 0.9033 0.1271 0.7571  2 H 2.19-2.24

=====

# SrHSBr2

Crystalline SrHSBr2 at its relaxed geometry (PBE, Alexandria).

a b c (Å): 6.0021 6.0021 4.5181
angles (deg): 90.00 90.00 90.00
Last column: nearest neighbours and their distance in Å.
Fractional coordinates of all 5 atoms:
Sr1 0.0000 0.0000 0.0000  2 H 2.26
H1 0.0000 0.0000 0.5000  2 Sr 2.26
S1 0.5000 0.5000 0.5000  8 Br 3.76
Br1 0.0000 0.5000 0.0000  2 Sr 3.00
Br2 0.5000 0.0000 0.0000  2 Sr 3.00

=====

# TeHSBr2

Crystalline TeHSBr2 at its relaxed geometry (PBE, Alexandria).

a b c (Å): 5.2434 5.2434 5.3561
angles (deg): 90.00 90.00 90.00
Last column: nearest neighbours and their distance in Å.
Fractional coordinates of all 5 atoms:
Te1 0.0000 0.0000 0.0000  2 S 2.68
H1 0.5000 0.5000 0.0000  4 Te 3.71, 8 Br 3.75
S1 0.0000 0.0000 0.5000  4 Br 2.62, 2 Te 2.68
Br1 0.0000 0.5000 0.5000  2 S 2.62
Br2 0.5000 0.0000 0.5000  2 S 2.62

=====

# TiHSBr

Crystalline TiHSBr at its relaxed geometry (PBE, Alexandria).

a b c (Å): 7.1870 7.1870 7.1870
angles (deg): 26.98 26.98 26.98
Last column: nearest neighbours and their distance in Å.
Fractional coordinates of all 4 atoms:
Ti1 0.0000 0.0000 0.0000  3 H 1.94
H1 0.6639 0.6639 0.6639  3 Ti 1.94
S1 0.4069 0.4069 0.4069  3 Ti 2.47, 3 H 2.50
Br1 0.2434 0.2434 0.2434  3 H 2.65, 3 Ti 2.69

=====

# Tl2HSBr

Crystalline Tl2HSBr at its relaxed geometry (PBE, Alexandria).

a b c (Å): 7.3029 7.3029 7.3029
angles (deg): 108.69 108.69 111.04
Last column: nearest neighbours and their distance in Å.
Fractional coordinates of all 10 atoms:
Tl1 0.2120 0.7120 0.9240  2 S 3.19, 2 Br 3.20-3.37, 2 H 3.55
Tl2 0.2880 0.2120 0.5000  2 S 3.19, 2 Br 3.20-3.37, 2 H 3.55
Tl3 0.7120 0.7880 0.5000  2 S 3.19, 2 Br 3.20-3.37, 2 H 3.55
Tl4 0.7880 0.2880 0.0760  2 S 3.19, 2 Br 3.20-3.37, 2 H 3.55
H1 0.2216 0.2216 0.0000  1 S 1.35
H2 0.7216 0.7216 0.0000  1 S 1.35
S1 0.3850 0.3850 0.0000  1 H 1.35
S2 0.8850 0.8850 0.0000  1 H 1.35
Br1 0.2665 0.7665 0.5000  4 Tl 3.20-3.37
Br2 0.7665 0.2665 0.5000  4 Tl 3.20-3.37

=====

# Tl2H2SBr2

Crystalline Tl2H2SBr2 at its relaxed geometry (PBE, Alexandria).

a b c (Å): 4.4714 6.5777 6.7491
angles (deg): 76.89 78.31 77.86
Last column: nearest neighbours and their distance in Å.
Fractional coordinates of all 7 atoms:
Tl1 0.0006 0.2558 0.2363  2 H 3.09-3.16, 2 S 3.10-3.11
Tl2 0.9994 0.7442 0.7637  2 H 3.09-3.16, 2 S 3.10-3.11
H1 0.4722 0.8507 0.3538  1 S 1.58, 1 Br 1.75
H2 0.5278 0.1493 0.6462  1 S 1.58, 1 Br 1.75
S1 0.5000 0.0000 0.5000  2 H 1.58
Br1 0.3772 0.7014 0.1993  1 H 1.75
Br2 0.6228 0.2986 0.8007  1 H 1.75

=====

# H3WS2Br6

Crystalline H3WS2Br6 at its relaxed geometry (PBE, Alexandria).

a b c (Å): 6.3033 6.3033 8.8839
angles (deg): 107.64 107.64 61.99
Last column: nearest neighbours and their distance in Å.
Fractional coordinates of all 12 atoms:
H1 0.0000 0.0000 0.0000  2 S 1.82
H2 0.0000 0.5000 0.0000  2 S 1.85
H3 0.5000 0.0000 0.0000  2 S 1.85
W1 0.5000 0.5000 0.5000  6 Br 2.44-2.50
S1 0.1691 0.1691 0.0028  3 H 1.82-1.85
S2 0.8309 0.8309 0.9972  3 H 1.82-1.85
Br1 0.0727 0.5896 0.3763  1 W 2.44
Br2 0.4104 0.9273 0.6237  1 W 2.44
Br3 0.4543 0.4543 0.7565  1 W 2.50
Br4 0.5457 0.5457 0.2435  1 W 2.50
Br5 0.5896 0.0727 0.3763  1 W 2.44
Br6 0.9273 0.4104 0.6237  1 W 2.44

=====

# Y2HSBr

Crystalline Y2HSBr at its relaxed geometry (PBE, Alexandria).

a b c (Å): 5.3353 5.3353 5.1168
angles (deg): 90.00 90.00 90.00
Last column: nearest neighbours and their distance in Å.
Fractional coordinates of all 5 atoms:
Y1 0.0000 0.5000 0.0000  2 Br 2.67
Y2 0.5000 0.0000 0.0000  2 Br 2.67
H1 0.0000 0.0000 0.5000  8 Y 3.70, 4 S 3.77
S1 0.5000 0.5000 0.5000  2 Br 2.56
Br1 0.5000 0.5000 0.0000  2 S 2.56, 4 Y 2.67

=====

# Y2H2SBr

Crystalline Y2H2SBr at its relaxed geometry (PBE, Alexandria).

a b c (Å): 3.7703 3.7703 8.3009
angles (deg): 90.00 90.00 120.00
Last column: nearest neighbours and their distance in Å.
Fractional coordinates of all 6 atoms:
Y1 0.3333 0.6667 0.2083  3 H 2.20
Y2 0.6667 0.3333 0.7917  3 H 2.20
H1 0.3333 0.6667 0.7527  3 Y 2.20
H2 0.6667 0.3333 0.2473  3 Y 2.20
S1 0.0000 0.0000 0.0000  6 Y 2.78, 6 H 2.99
Br1 0.0000 0.0000 0.5000  6 H 3.02, 6 Y 3.26

=====

# ZrHSBr

Crystalline ZrHSBr at its relaxed geometry (PBE, Alexandria).

a b c (Å): 7.3221 7.3221 7.3221
angles (deg): 28.24 28.24 28.24
Last column: nearest neighbours and their distance in Å.
Fractional coordinates of all 4 atoms:
Zr1 0.0000 0.0000 0.0000  3 H 2.07
H1 0.6606 0.6606 0.6606  3 Zr 2.07
S1 0.4081 0.4081 0.4081  3 Zr 2.60, 3 H 2.68
Br1 0.2402 0.2402 0.2402  3 H 2.76, 3 Zr 2.85

=====

# Sb3HBr

Crystalline Sb3HBr at its relaxed geometry (PBE, Alexandria).

Output
ΔE to the lowest computed polymorph   431 kJ/mol of formula units

a b c (Å): 5.6114 5.6114 5.6114
angles (deg): 90.00 90.00 90.00
Last column: nearest neighbours and their distance in Å.
Fractional coordinates of all 5 atoms:
Sb1 0.0000 0.0000 0.5000  2 Br 2.81
Sb2 0.0000 0.5000 0.0000  2 Br 2.81
Sb3 0.5000 0.0000 0.0000  2 Br 2.81
H1 0.5000 0.5000 0.5000  12 Sb 3.97
Br1 0.0000 0.0000 0.0000  6 Sb 2.81

=====

# Sb3HBr

Crystalline Sb3HBr at its relaxed geometry (PBE, Alexandria).

Output
ΔE to the lowest computed polymorph   0 kJ/mol of formula units

a b c (Å): 4.8250 4.8250 4.8250
angles (deg): 90.00 90.00 90.00
Last column: nearest neighbours and their distance in Å.
Fractional coordinates of all 5 atoms:
Sb1 0.0000 0.0000 0.5000  2 H 2.41
Sb2 0.0000 0.5000 0.0000  2 H 2.41
Sb3 0.5000 0.0000 0.0000  2 H 2.41
H1 0.0000 0.0000 0.0000  6 Sb 2.41
Br1 0.5000 0.5000 0.5000  12 Sb 3.41

=====

# SbH2Br6

Crystalline SbH2Br6 at its relaxed geometry (PBE, Alexandria).

a b c (Å): 12.0880 12.0880 5.9473
angles (deg): 104.07 104.07 65.09
Last column: nearest neighbours and their distance in Å.
Fractional coordinates of all 18 atoms:
Sb1 0.2469 0.7531 0.7500  4 Br 2.57
Sb2 0.7531 0.2469 0.2500  4 Br 2.57
H1 0.2298 0.2767 0.6480  1 Br 1.46
H2 0.2767 0.2298 0.1480  1 Br 1.46
H3 0.7233 0.7702 0.8520  1 Br 1.46
H4 0.7702 0.7233 0.3520  1 Br 1.46
Br1 0.0538 0.7905 0.9138  1 Sb 2.57
Br2 0.1587 0.3478 0.8388  1 H 1.46
Br3 0.2095 0.9462 0.5862  1 Sb 2.57
Br4 0.2862 0.5607 0.4311  1 Sb 2.57
Br5 0.3478 0.1587 0.3388  1 H 1.46
Br6 0.4393 0.7138 0.0689  1 Sb 2.57
Br7 0.5607 0.2862 0.9311  1 Sb 2.57
Br8 0.6522 0.8413 0.6612  1 H 1.46
Br9 0.7138 0.4393 0.5689  1 Sb 2.57
Br10 0.7905 0.0538 0.4138  1 Sb 2.57
Br11 0.8413 0.6522 0.1612  1 H 1.46
Br12 0.9462 0.2095 0.0862  1 Sb 2.57

=====

# SbH3Br

Crystalline SbH3Br at its relaxed geometry (PBE, Alexandria).

Output
ΔE to the lowest computed polymorph   377 kJ/mol of formula units

a b c (Å): 3.9866 3.9866 3.9866
angles (deg): 90.00 90.00 90.00
Last column: nearest neighbours and their distance in Å.
Fractional coordinates of all 5 atoms:
Sb1 0.0000 0.0000 0.0000  12 H 2.82
H1 0.0000 0.5000 0.5000  2 Br 1.99
H2 0.5000 0.0000 0.5000  2 Br 1.99
H3 0.5000 0.5000 0.0000  2 Br 1.99
Br1 0.5000 0.5000 0.5000  6 H 1.99

=====

# SbH3Br

Crystalline SbH3Br at its relaxed geometry (PBE, Alexandria).

Output
ΔE to the lowest computed polymorph   0 kJ/mol of formula units

a b c (Å): 4.0004 4.0004 4.0004
angles (deg): 90.00 90.00 90.00
Last column: nearest neighbours and their distance in Å.
Fractional coordinates of all 5 atoms:
Sb1 0.0000 0.0000 0.0000  6 H 2.00
H1 0.0000 0.0000 0.5000  2 Sb 2.00
H2 0.0000 0.5000 0.0000  2 Sb 2.00
H3 0.5000 0.0000 0.0000  2 Sb 2.00
Br1 0.5000 0.5000 0.5000  12 H 2.83

=====

# SbH2Br3

Crystalline SbH2Br3 at its relaxed geometry (PBE, Alexandria).

a b c (Å): 6.7805 8.3327 7.6853
angles (deg): 90.00 102.68 90.00
Last column: nearest neighbours and their distance in Å.
Fractional coordinates of all 12 atoms:
Sb1 0.0280 0.2500 0.0300  1 H 1.74
Sb2 0.9720 0.7500 0.9700  1 H 1.74
H1 0.1810 0.7500 0.1470  1 Sb 1.74
H2 0.3987 0.7500 0.6109  1 Br 1.44
H3 0.6013 0.2500 0.3891  1 Br 1.44
H4 0.8190 0.2500 0.8530  1 Sb 1.74
Br1 0.1582 0.5218 0.8134  1 Sb 2.71
Br2 0.1582 0.9782 0.8134  1 Sb 2.71
Br3 0.4437 0.2500 0.4873  1 H 1.44
Br4 0.5563 0.7500 0.5127  1 H 1.44
Br5 0.8418 0.0218 0.1866  1 Sb 2.71
Br6 0.8418 0.4782 0.1866  1 Sb 2.71

=====

DFT total energy
In order: -2.6306 -2.2721 -3.6948 -3.3305 -3.3284 -2.6586 -2.0228 -5.1836 -3.2451 -3.0543 -3.3972 -3.9613 -5.5142 -5.6128 -2.0695 -2.9630 -2.6399 -2.0433 -2.8254 -2.9308
Unit: eV per atom